Record 1
LaNbCd2Fe: optimized geometry, PBEsol.

Calculated values
* total magnetic moment: 0.713 μB per atom
* calculated formation energy: 1.320 eV/atom

Unit cell a=5.3083 b=5.3083 c=5.1475 alpha=90.00 beta=90.00 gamma=90.00
Last column: nearest neighbours and their distance in Å.
Space group P4/mmm (No. 123)
One atom of each set of equivalent atoms:
La  0.0000  0.0000  0.0000 [1 per cell]  2 Nb 2.57
Nb  0.0000  0.0000  0.5000 [1 per cell]  2 La 2.57, 4 Cd 2.65
Cd  0.0000  0.5000  0.5000 [2 per cell]  2 Nb 2.65
Fe  0.5000  0.5000  0.0000 [1 per cell]  8 Cd 3.70, 4 La 3.75

Record 2
LiCdFe: optimized geometry, PBEsol.

Calculated values
* total magnetic moment: 0.881 μB per atom
* energy relative to the lowest polymorph listed for this composition: 0 meV per atom
* calculated formation energy: 0.699 eV/atom

Unit cell a=6.0770 b=6.0770 c=6.0770 alpha=90.00 beta=90.00 gamma=90.00
Last column: nearest neighbours and their distance in Å.
Space group F-43m (No. 216)
One atom of each set of equivalent atoms:
Li  0.0000  0.0000  0.0000 [4 per cell]  4 Fe 2.63
Cd  0.0000  0.0000  0.5000 [4 per cell]  4 Fe 2.63
Fe  0.2500  0.2500  0.7500 [4 per cell]  4 Cd 2.63, 4 Li 2.63